Material: FeSi2Ru
Method: DFT, PBE
State: optimized geometry

Cell lengths 5.232, 5.232, 10.377 Å; angles 90.00, 90.00, 90.00 degrees
Fractional positions:
Fe  0.000  0.000  0.000
Fe  0.000  0.500  0.250
Fe  0.500  0.000  0.750
Fe  0.500  0.500  0.500
Si  0.236  0.250  0.125
Si  0.250  0.736  0.375
Si  0.250  0.764  0.875
Si  0.264  0.250  0.625
Si  0.736  0.750  0.625
Si  0.750  0.236  0.875
Si  0.750  0.264  0.375
Si  0.764  0.750  0.125
Ru  0.000  0.000  0.500
Ru  0.000  0.500  0.750
Ru  0.500  0.000  0.250
Ru  0.500  0.500  0.000

## Properties
Calculated total energy ... -6.6427 eV/atom
Space-group type ... I-42d
Volume ... 17.75 A^3/atom
Formation energy without anion corrections ... 0.50 eV/atom

---

Material: SrTbAg4
Method: DFT, PBE
State: optimized geometry

Cell lengths 5.829, 5.829, 5.829 Å; angles 60.00, 60.00, 60.00 degrees
Fractional positions:
Sr  0.000  0.000  0.000
Tb  0.250  0.250  0.250
Ag  0.126  0.625  0.625
Ag  0.625  0.126  0.625
Ag  0.625  0.625  0.126
Ag  0.625  0.625  0.625

## Properties
Calculated total energy ... -3.0897 eV/atom
ΔE_f ... -0.14 eV per atom
Space-group type ... F-43m
Volume ... 23.35 A^3/atom